Here is a relaxed structure of LaHfMoO6 from the Alexandria database. Energies are from PBE+U.

extended XYZ file:
```
18
Lattice="5.0005 0.0000 0.0000 0.0000 5.0005 0.0000 0.0000 0.0000 10.0897" Properties=species:S:1:pos:R:3 pbc="T T T"
La 0.0000 0.0000 0.0000
La 2.5003 2.5003 5.0449
Hf 0.0000 0.0000 3.4499
Hf 2.5003 2.5003 8.4948
Mo 0.0000 0.0000 6.7710
Mo 2.5003 2.5003 1.7261
O 0.8646 0.8646 5.1438
O 1.0558 1.0558 8.2357
O 1.1365 1.1365 1.9612
O 1.3637 3.6368 7.0060
O 1.4445 3.5560 3.1908
O 1.6357 3.3649 0.0989
O 3.3649 1.6357 0.0989
O 3.5560 1.4445 3.1908
O 3.6368 1.3637 7.0060
O 3.8640 3.8640 1.9612
O 3.9448 3.9448 8.2357
O 4.1359 4.1359 5.1438
```

uncorrected energy	-8.493	eV/atom
space-group type	P4_2nm, No. 102